(1)
DFT (PBE-GGA) results for an optimized crystal structure of PmYHo2S6.

The structure in extended XYZ format:
```
10
Lattice="3.477 2.007 6.182 -3.477 2.007 6.182 0.000 -4.015 6.182" Properties=species:S:1:pos:R:3 pbc="T T T"
Pm 0.000 0.000 0.000
Y 0.000 0.000 9.199
Ho 0.000 0.000 5.460
Ho 0.000 0.000 14.777
S -2.060 -0.100 7.314
S -1.370 -2.040 10.396
S 1.116 -1.734 7.314
S -1.082 2.207 10.396
S 0.943 1.834 7.314
S 2.452 -0.167 10.396
```

Calculated values
Space-group type: R3 (146)
Formation energy (no corrections), eV/f.u.: -20.53
DOS(E_F), states/eV per cell: 0.0

=====

(2)
DFT (PBE-GGA) results for an optimized crystal structure of Ba2AlSnOs.

The structure in extended XYZ format:
```
5
Lattice="5.986 0.000 0.000 0.000 5.986 0.000 0.000 0.000 4.802" Properties=species:S:1:pos:R:3 pbc="T T T"
Ba 0.000 2.993 0.000
Ba 2.993 0.000 0.000
Al 0.000 0.000 2.401
Sn 2.993 2.993 2.401
Os 0.000 0.000 0.000
```

Calculated values
Formation energy, eV per atom: 0.2249
Space-group type: P4/mmm (123)
DOS(E_F), states/eV per cell: 5.9

=====

(3)
DFT (PBE-GGA) results for an optimized crystal structure of RbGaSn.

The structure in extended XYZ format:
```
12
Lattice="14.347 0.000 0.000 0.000 4.627 0.000 -4.500 0.000 6.657" Properties=species:S:1:pos:R:3 pbc="T T T"
Rb 0.000 0.000 0.000
Rb -2.250 2.313 3.329
Rb 4.923 0.000 3.329
Rb 7.173 2.313 0.000
Ga 1.052 0.000 3.736
Ga 1.621 2.313 2.922
Ga 8.225 2.313 3.736
Ga 8.794 0.000 2.922
Sn 3.115 2.313 0.681
Sn -0.441 0.000 5.976
Sn 10.288 0.000 0.681
Sn 6.732 2.313 5.976
```

Calculated values
Formation energy, eV per atom: -0.1717
Space-group type: C2/m (12)
DOS(E_F), states/eV per cell: 0.4

=====

(4)
DFT (PBE-GGA) results for an optimized crystal structure of LiTlZnGe.

The structure in extended XYZ format:
```
8
Lattice="7.461 0.000 0.000 0.000 4.300 0.000 -2.521 0.000 5.518" Properties=species:S:1:pos:R:3 pbc="T T T"
Li 0.000 0.000 0.000
Li 3.730 2.150 0.000
Tl 0.007 0.000 3.430
Tl 3.737 2.150 3.430
Zn 1.244 2.150 1.379
Zn 4.975 0.000 1.379
Ge 2.484 0.000 1.161
Ge 6.215 2.150 1.161
```

Calculated values
Formation energy, eV per atom: -0.0699
Space-group type: Cm (8)
Energy above the lowest structure with this stoichiometry, eV per formula unit: 0.02
DOS(E_F), states/eV per cell: 2.1

=====

(5)
DFT (PBE-GGA) results for an optimized crystal structure of BeFe3I.

The structure in extended XYZ format:
```
5
Lattice="4.154 0.000 0.000 0.000 4.154 0.000 0.000 0.000 4.154" Properties=species:S:1:pos:R:3 pbc="T T T"
Be 0.000 0.000 0.000
Fe 0.000 0.000 2.077
Fe 0.000 2.077 0.000
Fe 2.077 0.000 0.000
I 2.077 2.077 2.077
```

Calculated values
Space-group type: Pm-3m (221)
Energy above the lowest structure with this stoichiometry, eV per formula unit: 0.00
Formation energy (no corrections), eV/f.u.: 4.00
DOS(E_F), states/eV per cell: 3.9

=====

(6)
DFT (PBE-GGA) results for an optimized crystal structure of PmEr3Cd6.

The structure in extended XYZ format:
```
20
Lattice="9.157 0.000 0.000 0.000 5.179 0.000 -3.088 0.000 10.645" Properties=species:S:1:pos:R:3 pbc="T T T"
Pm -0.666 1.295 4.147
Pm 6.736 3.884 6.498
Er -0.887 1.295 10.636
Er 0.749 3.884 8.504
Er 2.430 1.295 6.461
Er 3.640 3.884 4.184
Er 5.321 1.295 2.141
Er 6.957 3.884 0.009
Cd -2.303 3.884 9.644
Cd 0.721 3.884 2.105
Cd -0.694 1.295 7.432
Cd 0.735 3.884 5.375
Cd 2.309 1.295 3.108
Cd 3.844 3.884 1.026
Cd 2.226 1.295 9.619
Cd 3.761 3.884 7.537
Cd 5.335 1.295 5.270
Cd 6.764 3.884 3.213
Cd 5.348 1.295 8.541
Cd 8.372 1.295 1.001
```

Calculated values
Formation energy, eV per atom: -0.2821
Space-group type: P2_1/m (11)
DOS(E_F), states/eV per cell: 15.4

=====

(7)
DFT (PBE-GGA) results for an optimized crystal structure of Ca2MgCl.

The structure in extended XYZ format:
```
4
Lattice="3.944 0.000 0.000 0.000 5.732 0.000 0.000 0.000 5.735" Properties=species:S:1:pos:R:3 pbc="T T T"
Ca 0.000 0.000 0.000
Ca 0.001 2.866 2.858
Mg 1.972 2.866 5.721
Cl 3.936 0.000 2.867
```

Calculated values
Space-group type: Pm (6)
Energy above the lowest structure with this stoichiometry, eV per formula unit: 0.30
Formation energy (no corrections), eV/f.u.: -2.93
DOS(E_F), states/eV per cell: 3.3

=====

(8)
DFT (PBE-GGA) results for an optimized crystal structure of NaAlTe2I.

The structure in extended XYZ format:
```
5
Lattice="5.375 0.000 0.000 0.000 5.375 0.000 0.000 0.000 5.994" Properties=species:S:1:pos:R:3 pbc="T T T"
Na 0.000 0.000 0.000
Al 2.687 2.687 2.997
Te 0.000 2.687 2.997
Te 2.687 0.000 2.997
I 2.687 2.687 0.000
```

Calculated values
Space-group type: P4/mmm (123)
Energy above the lowest structure with this stoichiometry, eV per formula unit: 0.00
Formation energy (no corrections), eV/f.u.: -1.34
DOS(E_F), states/eV per cell: 5.5

=====

(9)
DFT (PBE-GGA) results for an optimized crystal structure of Nd2ThTl.

The structure in extended XYZ format:
```
4
Lattice="5.019 0.000 0.000 0.000 5.019 0.000 0.000 0.000 4.890" Properties=species:S:1:pos:R:3 pbc="T T T"
Nd 0.000 2.509 0.000
Nd 2.509 0.000 0.000
Th 0.000 0.000 2.445
Tl 2.509 2.509 2.445
```

Calculated values
Formation energy, eV per atom: -0.1349
Space-group type: P4/mmm (123)
Energy above the lowest structure with this stoichiometry, eV per formula unit: 0.18
DOS(E_F), states/eV per cell: 6.4

=====

(10)
DFT (PBE-GGA) results for an optimized crystal structure of TbLu2Co.

The structure in extended XYZ format:
```
12
Lattice="5.150 0.000 0.000 -2.575 4.460 0.000 0.000 0.000 12.055" Properties=species:S:1:pos:R:3 pbc="T T T"
Tb 0.000 0.000 0.000
Tb 0.000 2.973 8.037
Tb 2.575 1.487 4.018
Lu 0.000 0.000 3.096
Lu 0.000 0.000 8.959
Lu 0.000 2.973 4.940
Lu 0.000 2.973 11.133
Lu 2.575 1.487 0.922
Lu 2.575 1.487 7.114
Co 0.000 0.000 6.027
Co 0.000 2.973 2.009
Co 2.575 1.487 10.046
```

Calculated values
Formation energy, eV per atom: 0.2825
Space-group type: R-3m (166)
Energy above the lowest structure with this stoichiometry, eV per formula unit: 1.60
DOS(E_F), states/eV per cell: 16.7

=====

(11)
DFT (PBE-GGA) results for an optimized crystal structure of CdMo2I.

The structure in extended XYZ format:
```
16
Lattice="4.192 0.000 0.000 0.000 4.192 0.000 0.000 0.000 19.923" Properties=species:S:1:pos:R:3 pbc="T T T"
Cd 0.000 0.000 0.000
Cd 0.000 2.096 4.981
Cd 2.096 0.000 14.942
Cd 2.096 2.096 9.961
Mo 0.767 1.048 12.452
Mo 1.048 2.864 17.432
Mo 1.048 3.425 7.471
Mo 1.329 1.048 2.490
Mo 2.864 3.144 2.490
Mo 3.144 0.767 7.471
Mo 3.144 1.329 17.432
Mo 3.425 3.144 12.452
I 0.000 0.000 9.961
I 0.000 2.096 14.942
I 2.096 0.000 4.981
I 2.096 2.096 0.000
```

Calculated values
Space-group type: I-42d (122)
Energy above the lowest structure with this stoichiometry, eV per formula unit: 0.33
Formation energy (no corrections), eV/f.u.: 4.53
DOS(E_F), states/eV per cell: 15.9

=====

(12)
DFT (PBE-GGA) results for an optimized crystal structure of HfAgI2N.

The structure in extended XYZ format:
```
5
Lattice="5.811 0.000 0.000 0.000 5.811 0.000 0.000 0.000 3.824" Properties=species:S:1:pos:R:3 pbc="T T T"
Hf 0.000 0.000 0.000
Ag 2.905 2.905 1.912
I 0.000 2.905 1.912
I 2.905 0.000 1.912
N 2.905 2.905 0.000
```

Calculated values
Space-group type: P4/mmm (123)
Energy above the lowest structure with this stoichiometry, eV per formula unit: 6.56
Formation energy (no corrections), eV/f.u.: 6.08
DOS(E_F), states/eV per cell: 6.4

=====

(13)
DFT (PBE-GGA) results for an optimized crystal structure of ZrTl3Cd.

The structure in extended XYZ format:
```
5
Lattice="5.743 0.000 0.000 0.000 5.743 0.000 0.000 0.000 5.743" Properties=species:S:1:pos:R:3 pbc="T T T"
Zr 0.000 0.000 0.000
Tl 0.000 0.000 2.872
Tl 0.000 2.872 0.000
Tl 2.872 0.000 0.000
Cd 2.872 2.872 2.872
```

Calculated values
Formation energy, eV per atom: 0.5499
Space-group type: Pm-3m (221)
Energy above the lowest structure with this stoichiometry, eV per formula unit: 0.00
DOS(E_F), states/eV per cell: 4.4

=====

(14)
DFT (PBE-GGA) results for an optimized crystal structure of SrGaTeI2.

The structure in extended XYZ format:
```
5
Lattice="5.722 0.000 0.000 0.000 5.722 0.000 0.000 0.000 5.593" Properties=species:S:1:pos:R:3 pbc="T T T"
Sr 0.000 0.000 0.000
Ga 2.861 2.861 2.796
Te 2.861 2.861 0.000
I 0.000 2.861 2.796
I 2.861 0.000 2.796
```

Calculated values
Space-group type: P4/mmm (123)
Energy above the lowest structure with this stoichiometry, eV per formula unit: 0.00
Formation energy (no corrections), eV/f.u.: -3.55
DOS(E_F), states/eV per cell: 1.1

=====

(15)
DFT (PBE-GGA) results for an optimized crystal structure of Pu2NO.

The structure in extended XYZ format:
```
12
Lattice="3.386 0.000 0.000 -1.693 2.932 0.000 0.000 0.000 18.371" Properties=species:S:1:pos:R:3 pbc="T T T"
Pu 0.000 0.000 0.000
Pu 0.000 0.000 3.253
Pu 0.000 1.955 12.247
Pu 0.000 1.955 15.500
Pu 1.693 0.977 6.123
Pu 1.693 0.977 9.377
N 0.000 0.000 10.829
N 0.000 1.955 4.706
N 1.693 0.977 16.953
O 0.000 0.000 7.683
O 0.000 1.955 1.560
O 1.693 0.977 13.807
```

Calculated values
Space-group type: R3m (160)
Energy above the lowest structure with this stoichiometry, eV per formula unit: 0.70
Formation energy (no corrections), eV/f.u.: -6.83
DOS(E_F), states/eV per cell: 48.0

=====

(16)
DFT (PBE-GGA) results for an optimized crystal structure of Na2ZnIO4.

The structure in extended XYZ format:
```
16
Lattice="5.989 0.000 0.000 0.000 5.989 0.000 0.000 0.000 6.496" Properties=species:S:1:pos:R:3 pbc="T T T"
Na 0.000 0.000 0.000
Na 0.000 2.995 1.624
Na 2.995 0.000 4.872
Na 2.995 2.995 3.248
Zn 0.000 0.000 3.248
Zn 2.995 2.995 0.000
I 0.000 2.995 4.872
I 2.995 0.000 1.624
O 0.974 1.198 4.530
O 1.198 5.015 1.966
O 1.797 3.969 5.214
O 2.021 1.797 1.282
O 3.969 4.193 1.282
O 4.193 2.021 5.214
O 4.791 0.974 1.966
O 5.015 4.791 4.530
```

Calculated values
Space-group type: I-4 (82)
Formation energy (no corrections), eV/f.u.: -7.77
DOS(E_F), states/eV per cell: 0.7

=====

(17)
DFT (PBE-GGA) results for an optimized crystal structure of Ac2ErLu.

The structure in extended XYZ format:
```
16
Lattice="8.404 0.000 0.000 0.000 8.404 0.000 0.000 0.000 8.404" Properties=species:S:1:pos:R:3 pbc="T T T"
Ac 2.101 2.101 2.101
Ac 2.101 2.101 6.303
Ac 2.101 6.303 2.101
Ac 2.101 6.303 6.303
Ac 6.303 2.101 2.101
Ac 6.303 2.101 6.303
Ac 6.303 6.303 2.101
Ac 6.303 6.303 6.303
Er 0.000 0.000 0.000
Er 0.000 4.202 4.202
Er 4.202 0.000 4.202
Er 4.202 4.202 0.000
Lu 0.000 0.000 4.202
Lu 0.000 4.202 0.000
Lu 4.202 0.000 0.000
Lu 4.202 4.202 4.202
```

Calculated values
Formation energy, eV per atom: 0.0840
Space-group type: Fm-3m (225)
Energy above the lowest structure with this stoichiometry, eV per formula unit: 0.09
DOS(E_F), states/eV per cell: 24.2

=====

(18)
DFT (PBE-GGA) results for an optimized crystal structure of Na2AgH6Ru.

The structure in extended XYZ format:
```
10
Lattice="3.549 -3.787 0.000 3.549 3.787 0.000 -3.343 0.000 3.650" Properties=species:S:1:pos:R:3 pbc="T T T"
Na 3.549 1.912 0.000
Na 3.549 -1.912 0.000
Ag 1.925 0.000 1.824
H -0.061 0.000 1.578
H 1.824 2.040 1.866
H -1.151 0.000 3.441
H 3.825 0.000 1.197
H 1.824 -2.040 1.866
H 5.632 0.000 0.173
Ru 5.370 0.000 1.850
```

Calculated values
Space-group type: Cm (8)
Total energy, eV per atom: -3.54
DOS(E_F), states/eV per cell: 1.3

=====

(19)
DFT (PBE-GGA) results for an optimized crystal structure of Er4Cu2Ir.

The structure in extended XYZ format:
```
14
Lattice="6.162 -4.158 0.000 6.162 4.158 0.000 -5.761 0.000 6.282" Properties=species:S:1:pos:R:3 pbc="T T T"
Er -1.062 0.000 1.419
Er 3.431 1.040 0.936
Er -0.403 -0.907 4.823
Er 3.131 1.040 5.346
Er 1.787 -1.742 2.327
Er 6.965 -0.907 1.459
Er 4.775 -1.742 3.954
Er 7.624 0.000 4.863
Cu 3.281 2.814 3.141
Cu 1.193 1.068 3.254
Cu 6.162 1.732 0.000
Cu 5.369 1.068 3.028
Ir 4.237 -1.599 1.055
Ir 2.324 -1.599 5.227
```

Calculated values
Formation energy, eV per atom: -0.4115
Space-group type: C2 (5)
Energy above the lowest structure with this stoichiometry, eV per formula unit: 0.00
DOS(E_F), states/eV per cell: 11.5

=====

(20)
DFT (PBE-GGA) results for an optimized crystal structure of MoOs2.

The structure in extended XYZ format:
```
12
Lattice="5.152 0.000 0.000 -2.576 4.462 0.000 0.000 0.000 8.162" Properties=species:S:1:pos:R:3 pbc="T T T"
Mo 0.000 2.975 0.679
Mo 0.000 2.975 3.402
Mo 2.576 1.487 4.760
Mo 2.576 1.487 7.483
Os 0.000 0.000 0.000
Os 0.000 0.000 4.081
Os 0.000 1.562 6.122
Os -1.224 3.681 6.122
Os 1.353 0.781 2.041
Os 1.224 3.681 6.122
Os 3.800 0.781 2.041
Os 2.576 2.900 2.041
```

Calculated values
Formation energy, eV per atom: 0.2544
Space-group type: P6_3/mmc (194)
Energy above the lowest structure with this stoichiometry, eV per formula unit: 0.82
DOS(E_F), states/eV per cell: 10.9